Density functional theory data (PBEsol) for Y5Cu after structural relaxation.

Structure (POSCAR):
```
Y5Cu
1.0
3.4625 0.0000 0.0000
0.0000 3.4625 0.0000
0.0000 0.0000 13.6198
Y Cu
5 1
Direct
0.0000 0.0000 0.0000 Y
0.0000 0.0000 0.3769 Y
0.0000 0.0000 0.6231 Y
0.5000 0.5000 0.1836 Y
0.5000 0.5000 0.8164 Y
0.5000 0.5000 0.5000 Cu
```

Magnetic moment in μB/f.u.: 0.00
Space group: P4/mmm (123)
Relative energy among the computed polymorphs in eV per atom: 0.0000
Formation energy in eV per atom: -0.0454
Calculated total energy in eV for the cell shown: -38.7